(1)
{
  "formula": "MgCuB",
  "functional": "PBE",
  "state": "optimized geometry",
  "e_form_ev_per_atom": 0.025,
  "n_ef_per_ev_atom": 0.13,
  "spacegroup": "No. 11",
  "vol_a3_per_fu": 38.2,
  "total_energy_ev_per_atom": -4.10,
  "de_polymorph_mev_per_atom": 29.3,
  "cell": [[4.675, 0.000, 0.000], [0.000, 3.049, 0.000], [-2.049, 0.000, 5.365]],
  "species": ["Mg", "Mg", "Cu", "Cu", "B", "B"],
  "fractional_positions": [[0.017, 0.250, 0.263], [0.983, 0.750, 0.737], [0.495, 0.250, 0.826], [0.505, 0.750, 0.174], [0.437, 0.750, 0.518], [0.563, 0.250, 0.482]]
}

=====

(2)
{
  "formula": "Mg14CuB",
  "functional": "PBE",
  "state": "optimized geometry",
  "e_form_ev_per_atom": 0.143,
  "n_ef_per_ev_atom": 0.33,
  "spacegroup": "No. 38",
  "vol_a3_per_fu": 338.3,
  "total_energy_ev_per_atom": -1.93,
  "de_polymorph_mev_per_atom": 0.0,
  "cell": [[9.573, 0.000, 0.000], [0.000, 3.261, 5.418], [0.000, -3.261, 5.418]],
  "species": ["Mg", "Mg", "Mg", "Mg", "Mg", "Mg", "Mg", "Mg", "Mg", "Mg", "Mg", "Mg", "Mg", "Mg", "Cu", "B"],
  "fractional_positions": [[0.000, 0.000, 0.000], [0.000, 0.489, 0.986], [0.000, 0.497, 0.497], [0.000, 0.986, 0.489], [0.251, 0.321, 0.321], [0.251, 0.827, 0.827], [0.314, 0.332, 0.799], [0.314, 0.799, 0.332], [0.500, 0.052, 0.538], [0.500, 0.538, 0.052], [0.686, 0.332, 0.799], [0.686, 0.799, 0.332], [0.749, 0.321, 0.321], [0.749, 0.827, 0.827], [0.500, 0.982, 0.982], [0.500, 0.465, 0.465]]
}

=====

(3)
{
  "formula": "MgCu2B",
  "functional": "PBE",
  "state": "optimized geometry",
  "e_form_ev_per_atom": 0.465,
  "n_ef_per_ev_atom": 0.39,
  "spacegroup": "No. 141",
  "vol_a3_per_fu": 66.2,
  "total_energy_ev_per_atom": -3.65,
  "cell": [[4.496, 0.000, 0.000], [0.000, 4.496, 0.000], [0.000, 0.000, 13.094]],
  "species": ["Mg", "Mg", "Mg", "Mg", "Cu", "Cu", "Cu", "Cu", "Cu", "Cu", "Cu", "Cu", "B", "B", "B", "B"],
  "fractional_positions": [[0.000, 0.250, 0.375], [0.000, 0.750, 0.625], [0.500, 0.250, 0.125], [0.500, 0.750, 0.875], [0.000, 0.000, 0.000], [0.000, 0.500, 0.000], [0.250, 0.250, 0.750], [0.250, 0.750, 0.250], [0.500, 0.000, 0.500], [0.500, 0.500, 0.500], [0.750, 0.250, 0.750], [0.750, 0.750, 0.250], [0.000, 0.250, 0.875], [0.000, 0.750, 0.125], [0.500, 0.250, 0.625], [0.500, 0.750, 0.375]]
}

=====

(4)
{
  "formula": "MgCu2B",
  "functional": "PBE",
  "state": "optimized geometry",
  "e_form_ev_per_atom": 0.414,
  "n_ef_per_ev_atom": 0.28,
  "spacegroup": "No. 225",
  "vol_a3_per_fu": 45.9,
  "total_energy_ev_per_atom": -3.70,
  "cell": [[5.684, 0.000, 0.000], [0.000, 5.684, 0.000], [0.000, 0.000, 5.684]],
  "species": ["Mg", "Mg", "Mg", "Mg", "Cu", "Cu", "Cu", "Cu", "Cu", "Cu", "Cu", "Cu", "B", "B", "B", "B"],
  "fractional_positions": [[0.000, 0.000, 0.000], [0.000, 0.500, 0.500], [0.500, 0.000, 0.500], [0.500, 0.500, 0.000], [0.250, 0.250, 0.250], [0.250, 0.250, 0.750], [0.250, 0.750, 0.250], [0.250, 0.750, 0.750], [0.750, 0.250, 0.250], [0.750, 0.250, 0.750], [0.750, 0.750, 0.250], [0.750, 0.750, 0.750], [0.000, 0.000, 0.500], [0.000, 0.500, 0.000], [0.500, 0.000, 0.000], [0.500, 0.500, 0.500]]
}

=====

(5)
{
  "formula": "MgCuB",
  "functional": "PBE",
  "state": "optimized geometry",
  "e_form_ev_per_atom": 0.087,
  "n_ef_per_ev_atom": 0.23,
  "spacegroup": "No. 8",
  "vol_a3_per_fu": 38.5,
  "total_energy_ev_per_atom": -4.04,
  "de_polymorph_mev_per_atom": 91.5,
  "cell": [[8.503, 0.000, 0.000], [0.000, 3.143, 0.000], [-2.036, 0.000, 5.763]],
  "species": ["Mg", "Mg", "Mg", "Mg", "Cu", "Cu", "Cu", "Cu", "B", "B", "B", "B"],
  "fractional_positions": [[0.000, 0.000, 0.000], [0.177, 0.500, 0.457], [0.500, 0.500, 0.000], [0.677, 0.000, 0.457], [0.329, 0.000, 0.209], [0.438, 0.000, 0.636], [0.829, 0.500, 0.209], [0.938, 0.500, 0.636], [0.193, 0.500, 0.869], [0.246, 0.000, 0.829], [0.693, 0.000, 0.869], [0.746, 0.500, 0.829]]
}

=====

(6)
{
  "formula": "MgCuB2",
  "functional": "PBE",
  "state": "optimized geometry",
  "e_form_ev_per_atom": 0.362,
  "n_ef_per_ev_atom": 0.23,
  "spacegroup": "No. 141",
  "vol_a3_per_fu": 46.5,
  "total_energy_ev_per_atom": -4.40,
  "cell": [[3.582, 0.000, 0.000], [0.000, 3.582, 0.000], [0.000, 0.000, 14.504]],
  "species": ["Mg", "Mg", "Mg", "Mg", "Cu", "Cu", "Cu", "Cu", "B", "B", "B", "B", "B", "B", "B", "B"],
  "fractional_positions": [[0.000, 0.250, 0.375], [0.000, 0.750, 0.625], [0.500, 0.250, 0.125], [0.500, 0.750, 0.875], [0.000, 0.250, 0.875], [0.000, 0.750, 0.125], [0.500, 0.250, 0.625], [0.500, 0.750, 0.375], [0.000, 0.000, 0.000], [0.000, 0.500, 0.000], [0.250, 0.250, 0.750], [0.250, 0.750, 0.250], [0.500, 0.000, 0.500], [0.500, 0.500, 0.500], [0.750, 0.250, 0.750], [0.750, 0.750, 0.250]]
}